Be2AsAu after structural relaxation. Source: Alexandria, functional PBE-GGA.

```
4
Lattice="3.095 0.052 0.000 -0.051 3.095 0.000 0.000 0.000 6.448" Properties=species:S:1:pos:R:3 pbc="T T T"
Au 1.522 1.574 5.575
Be 1.522 1.574 1.458
Be 0.000 0.000 0.135
As 0.000 0.000 2.505
```

- Total magnetization: 0.0 μB/f.u.
- VASP energy: -3.7034 eV per atom
- Crystal system: tetragonal
- ΔH_f (0 K): 141.4 meV/atom

CsPbS2N after structural relaxation. Source: Alexandria, functional PBE-GGA.

```
5
Lattice="5.708 0.000 0.000 0.000 5.708 0.000 0.000 0.000 4.467" Properties=species:S:1:pos:R:3 pbc="T T T"
Cs 0.000 0.000 0.000
N 0.000 0.000 2.234
S 0.000 2.854 0.000
S 2.854 0.000 0.000
Pb 2.854 2.854 2.234
```

- Distance to the lowest polymorph of the same formula: 976.6 meV per atom
- Total magnetization: 1.8 μB/f.u.
- VASP energy: -2.8149 eV per atom
- Raw formation energy: 1.413 eV/atom
- Crystal system: tetragonal

Ac2Pr4SmY2 after structural relaxation. Source: Alexandria, functional PBE-GGA.

```
9
Lattice="3.724 0.000 0.000 -1.862 8.843 0.704 0.000 -2.428 9.925" Properties=species:S:1:pos:R:3 pbc="T T T"
Pr 1.862 3.961 8.177
Pr 0.000 2.454 2.452
Pr 0.000 6.993 7.426
Pr 1.862 -0.577 3.203
Ac 1.862 4.947 4.597
Ac 0.000 1.468 6.032
Sm 0.000 0.000 0.000
Y 0.000 5.720 1.253
Y 1.862 0.695 9.376
```

- Total magnetization: 0.0 μB/f.u.
- VASP energy: -4.9775 eV per atom
- Crystal system: monoclinic
- ΔH_f (0 K): 20.5 meV/atom

PmDyYHo after structural relaxation. Source: Alexandria, functional PBE-GGA.

```
4
Lattice="3.595 0.000 -0.003 -1.797 3.113 0.005 -1.787 -1.049 11.559" Properties=species:S:1:pos:R:3 pbc="T T T"
Pm 2.140 0.805 4.274
Dy 0.346 -0.234 7.175
Y -1.454 2.886 1.315
Ho -1.450 0.799 10.009
```

- Distance to the lowest polymorph of the same formula: 0.0 meV per atom
- Total magnetization: 0.0 μB/f.u.
- VASP energy: -5.0822 eV per atom
- Crystal system: trigonal
- ΔH_f (0 K): 16.4 meV/atom

Ho2Tl3CdTe6 after structural relaxation. Source: Alexandria, functional PBE-GGA.

```
12
Lattice="7.711 -0.011 0.000 -3.864 6.674 0.000 -1.284 -2.223 7.911" Properties=species:S:1:pos:R:3 pbc="T T T"
Tl 1.282 2.220 3.955
Tl 5.100 0.015 3.955
Tl -2.536 4.425 3.955
Ho 3.847 2.221 0.000
Ho 0.001 4.442 0.000
Te 2.576 -0.008 1.706
Te -1.294 2.227 1.706
Te -0.012 4.448 6.205
Te 3.859 2.213 6.205
Te 0.000 0.000 6.194
Te 2.564 4.439 1.717
Cd 0.000 0.000 0.000
```

- Total magnetization: 0.0 μB/f.u.
- VASP energy: -3.7534 eV per atom
- Raw formation energy: -0.752 eV/atom
- Crystal system: monoclinic

YEr4Se5 after structural relaxation. Source: Alexandria, functional PBE-GGA.

```
10
Lattice="-1.365 3.673 0.979 -1.159 -1.393 3.610 14.138 2.201 3.127" Properties=species:S:1:pos:R:3 pbc="T T T"
Y 0.000 0.000 0.000
Se 3.825 2.460 4.436
Se 2.630 0.683 1.107
Se 7.789 2.021 3.280
Se 8.984 3.799 6.609
Se -1.262 1.140 2.294
Er 10.360 2.689 4.362
Er 1.255 1.793 3.354
Er 6.367 3.120 5.507
Er 5.247 1.362 2.209
```

- Total magnetization: 0.0 μB/f.u.
- VASP energy: -5.9191 eV per atom
- Raw formation energy: -1.705 eV/atom
- Crystal system: tetragonal

CrNi2HPt after structural relaxation. Source: Alexandria, functional PBE-GGA.

```
5
Lattice="3.701 0.000 0.000 0.000 3.701 0.000 0.000 0.000 3.843" Properties=species:S:1:pos:R:3 pbc="T T T"
Cr 0.000 0.000 1.921
Ni 0.000 1.851 0.000
Ni 1.851 0.000 0.000
H 0.000 0.000 0.000
Pt 1.851 1.851 1.921
```

- Distance to the lowest polymorph of the same formula: 0.0 meV per atom
- Total magnetization: 3.1 μB/f.u.
- VASP energy: -6.2204 eV per atom
- Crystal system: tetragonal

CuRe2Te after structural relaxation. Source: Alexandria, functional PBE-GGA.

```
4
Lattice="2.852 0.038 0.000 -1.163 2.604 0.000 0.000 0.000 9.327" Properties=species:S:1:pos:R:3 pbc="T T T"
Te 0.000 0.000 4.721
Cu 0.844 1.321 7.240
Re 0.844 1.321 2.015
Re 0.000 0.000 0.014
```

- Total magnetization: 0.0 μB/f.u.
- VASP energy: -7.2994 eV per atom
- Raw formation energy: 0.734 eV/atom
- Crystal system: orthorhombic

Nd3Dy4Ho after structural relaxation. Source: Alexandria, functional PBE-GGA.

```
8
Lattice="3.374 0.000 0.874 1.187 8.532 2.366 -0.494 -1.058 8.857" Properties=species:S:1:pos:R:3 pbc="T T T"
Dy 1.966 0.290 6.308
Dy 2.822 5.172 3.004
Dy 2.101 7.184 5.789
Dy 1.245 2.302 9.093
Ho 1.687 0.000 0.437
Nd 2.723 1.814 3.386
Nd 0.346 3.737 5.612
Nd 1.344 5.660 8.711
```

- Distance to the lowest polymorph of the same formula: 105.7 meV per atom
- Total magnetization: 0.0 μB/f.u.
- VASP energy: -4.5326 eV per atom
- Crystal system: orthorhombic
- ΔH_f (0 K): 128.6 meV/atom

SbMoP after structural relaxation. Source: Alexandria, functional PBE-GGA.

```
3
Lattice="-2.722 3.455 0.773 0.153 3.598 -2.641 -3.370 0.858 -2.802" Properties=species:S:1:pos:R:3 pbc="T T T"
Mo -1.485 1.978 -1.168
P 0.000 0.000 0.000
Sb -2.969 3.955 -2.335
```

- Distance to the lowest polymorph of the same formula: 490.3 meV per atom
- Total magnetization: 1.6 μB/f.u.
- VASP energy: -6.3695 eV per atom
- Raw formation energy: 0.418 eV/atom
- Crystal system: cubic

TlCr2Te after structural relaxation. Source: Alexandria, functional PBE-GGA.

```
4
Lattice="-6.457 -4.713 1.528 -4.219 -6.954 -0.277 -3.765 -6.417 3.300" Properties=species:S:1:pos:R:3 pbc="T T T"
Te -3.610 -4.521 1.138
Cr -14.362 -17.984 4.526
Cr -7.300 -9.141 2.301
Tl -10.831 -13.563 3.414
```

- Distance to the lowest polymorph of the same formula: 119.0 meV per atom
- Total magnetization: 7.6 μB/f.u.
- VASP energy: -5.7284 eV per atom
- Raw formation energy: 0.460 eV/atom
- Crystal system: trigonal

LiHfAu2 after structural relaxation. Source: Alexandria, functional PBE-GGA.

```
4
Lattice="3.090 0.000 0.000 0.000 4.870 0.000 0.000 0.000 4.870" Properties=species:S:1:pos:R:3 pbc="T T T"
Li 1.545 0.000 0.000
Au 0.000 2.435 0.000
Au 0.000 0.000 2.435
Hf 1.545 2.435 2.435
```

- Total magnetization: 0.0 μB/f.u.
- VASP energy: -5.1049 eV per atom
- Crystal system: tetragonal
- ΔH_f (0 K): -499.4 meV/atom

HfTi2Ge2 after structural relaxation. Source: Alexandria, functional PBE-GGA.

```
10
Lattice="-5.682 -2.283 3.477 -1.088 -4.865 -4.973 1.964 -2.226 1.748" Properties=species:S:1:pos:R:3 pbc="T T T"
Ge -3.725 -2.075 1.543
Ge -3.045 -5.073 -3.039
Ge -1.144 -2.095 -1.383
Ge -5.626 -5.053 -0.113
Ti -3.722 -6.684 -0.935
Ti -4.102 -4.623 2.117
Ti -1.084 -2.690 1.187
Ti -0.704 -4.751 -1.865
Hf 0.000 0.000 0.000
Hf -3.385 -3.574 -0.748
```

- Distance to the lowest polymorph of the same formula: 0.0 meV per atom
- Total magnetization: 0.0 μB/f.u.
- VASP energy: -7.6401 eV per atom
- Crystal system: tetragonal
- ΔH_f (0 K): -644.5 meV/atom

CaNb2CdNi after structural relaxation. Source: Alexandria, functional PBE-GGA.

```
5
Lattice="-4.123 -2.400 -1.961 2.174 -0.284 -4.223 2.013 -4.555 1.343" Properties=species:S:1:pos:R:3 pbc="T T T"
Ni 1.087 -0.142 -2.111
Ca 0.032 -3.620 -2.420
Nb 1.007 -2.277 0.671
Nb -2.061 -1.200 -0.980
Cd 0.000 0.000 0.000
```

- Total magnetization: 2.2 μB/f.u.
- VASP energy: -4.3028 eV per atom
- Crystal system: tetragonal
- ΔH_f (0 K): 1464.8 meV/atom

SiAsOs2 after structural relaxation. Source: Alexandria, functional PBE-GGA.

```
4
Lattice="5.390 -0.007 0.002 2.993 4.482 -0.002 -3.808 -2.956 2.410" Properties=species:S:1:pos:R:3 pbc="T T T"
Si 4.324 2.308 0.000
As 1.635 1.853 1.204
Os 2.734 -0.444 1.206
Os 0.074 0.040 0.000
```

- Distance to the lowest polymorph of the same formula: 259.4 meV per atom
- Total magnetization: 0.0 μB/f.u.
- VASP energy: -7.8350 eV per atom
- Raw formation energy: 0.298 eV/atom
- Crystal system: orthorhombic

MnBeAg2 after structural relaxation. Source: Alexandria, functional PBE-GGA.

```
4
Lattice="2.936 0.000 0.000 0.000 2.936 0.000 0.000 0.000 6.813" Properties=species:S:1:pos:R:3 pbc="T T T"
Be 1.468 1.468 1.703
Mn 1.468 1.468 5.110
Ag 0.000 0.000 3.171
Ag 0.000 0.000 0.236
```

- Total magnetization: 4.0 μB/f.u.
- VASP energy: -4.3975 eV per atom
- Crystal system: tetragonal
- ΔH_f (0 K): 252.0 meV/atom

Y2HfAg after structural relaxation. Source: Alexandria, functional PBE-GGA.

```
4
Lattice="0.000 3.703 3.703 3.703 0.000 3.703 3.703 3.703 0.000" Properties=species:S:1:pos:R:3 pbc="T T T"
Y 1.852 1.852 1.852
Y 5.555 5.555 5.555
Ag 0.000 0.000 0.000
Hf 3.703 3.703 3.703
```

- Distance to the lowest polymorph of the same formula: 268.9 meV per atom
- Total magnetization: 1.4 μB/f.u.
- VASP energy: -6.2448 eV per atom
- Crystal system: cubic
- ΔH_f (0 K): 188.4 meV/atom

Tb3As after structural relaxation. Source: Alexandria, functional PBE-GGA.

```
4
Lattice="3.993 0.000 0.000 0.000 3.993 0.000 0.000 0.000 7.648" Properties=species:S:1:pos:R:3 pbc="T T T"
Tb 0.000 1.996 3.355
Tb 1.996 0.000 5.567
Tb 1.996 1.996 0.637
As 0.000 0.000 0.638
```

- Distance to the lowest polymorph of the same formula: 117.1 meV per atom
- Total magnetization: 0.0 μB/f.u.
- VASP energy: -5.0730 eV per atom
- Crystal system: tetragonal
- ΔH_f (0 K): -438.0 meV/atom

TbInAg2 after structural relaxation. Source: Alexandria, functional PBE-GGA.

```
4
Lattice="4.264 0.000 0.000 0.000 4.609 0.000 0.000 0.000 4.609" Properties=species:S:1:pos:R:3 pbc="T T T"
Tb 2.132 0.000 0.000
In 2.132 2.305 2.305
Ag 0.000 2.305 0.000
Ag 0.000 0.000 2.305
```

- Distance to the lowest polymorph of the same formula: 156.1 meV per atom
- Total magnetization: 0.0 μB/f.u.
- VASP energy: -3.4772 eV per atom
- Crystal system: tetragonal
- ΔH_f (0 K): -209.4 meV/atom

PuHfMoPt after structural relaxation. Source: Alexandria, functional PBE-GGA.

```
4
Lattice="-3.008 -1.022 3.549 1.689 -1.454 4.209 -0.269 2.867 3.793" Properties=species:S:1:pos:R:3 pbc="T T T"
Pu -0.794 0.196 5.776
Mo -0.397 0.098 2.888
Pt -1.191 0.293 8.663
Hf 0.000 0.000 0.000
```

- Total magnetization: 4.4 μB/f.u.
- VASP energy: -10.6177 eV per atom
- Crystal system: cubic
- ΔH_f (0 K): -328.3 meV/atom

TlHg2Mo after structural relaxation. Source: Alexandria, functional PBE-GGA.

```
4
Lattice="-0.666 0.104 2.899 2.402 -1.649 0.608 5.613 8.538 0.983" Properties=species:S:1:pos:R:3 pbc="T T T"
Hg 0.056 0.085 0.010
Hg 2.468 1.661 2.033
Tl 4.897 5.357 2.459
Mo 2.734 4.159 0.479
```

- Distance to the lowest polymorph of the same formula: 58.6 meV per atom
- Total magnetization: 0.0 μB/f.u.
- VASP energy: -2.8792 eV per atom
- Crystal system: tetragonal
- ΔH_f (0 K): 571.1 meV/atom

CeLuSiAu after structural relaxation. Source: Alexandria, functional PBE-GGA.

```
4
Lattice="-1.785 -1.436 -4.520 3.182 -0.650 -3.890 0.958 -4.663 -1.738" Properties=species:S:1:pos:R:3 pbc="T T T"
Ce 1.177 -3.374 -5.074
Au 0.589 -1.687 -2.537
Lu 0.000 0.000 0.000
Si 1.766 -5.062 -7.611
```

- Total magnetization: 1.3 μB/f.u.
- VASP energy: -5.3626 eV per atom
- Raw formation energy: -0.574 eV/atom
- Crystal system: cubic

SrAcCuO4 after structural relaxation. Source: Alexandria, functional PBE-GGA.

```
14
Lattice="-1.062 -2.293 4.897 -3.784 -3.285 -2.358 5.062 -3.288 -3.542" Properties=species:S:1:pos:R:3 pbc="T T T"
Ac 0.135 -7.040 -0.166
Ac 0.081 -1.826 -0.837
Sr 2.597 -4.289 -1.445
Sr -2.381 -4.576 0.442
O 0.908 -6.130 -2.673
O 0.108 -4.433 -0.502
O 0.639 -3.287 -2.950
O -2.102 -3.184 -1.946
O 2.318 -5.682 0.943
O 2.531 -1.644 -1.771
O 2.000 -2.790 0.678
O -0.692 -2.736 1.670
Cu 0.776 -4.173 1.315
Cu -0.560 -4.693 -2.318
```

- Total magnetization: 0.0 μB/f.u.
- VASP energy: -6.4574 eV per atom
- Raw formation energy: -2.212 eV/atom
- Crystal system: orthorhombic

PPtBrCl2 after structural relaxation. Source: Alexandria, functional PBE-GGA.

```
5
Lattice="4.935 0.000 0.000 0.000 4.935 0.000 0.000 0.000 4.660" Properties=species:S:1:pos:R:3 pbc="T T T"
P 0.000 0.000 2.330
Pt 0.000 0.000 0.000
Cl 0.000 2.467 0.000
Cl 2.467 0.000 0.000
Br 2.467 2.467 2.330
```

- Distance to the lowest polymorph of the same formula: 0.0 meV per atom
- Total magnetization: 0.0 μB/f.u.
- VASP energy: -3.0961 eV per atom
- Raw formation energy: 0.267 eV/atom
- Crystal system: tetragonal

CoSi2Se after structural relaxation. Source: Alexandria, functional PBE-GGA.

```
4
Lattice="8.850 0.010 0.006 8.348 2.939 0.006 8.348 1.431 2.567" Properties=species:S:1:pos:R:3 pbc="T T T"
Co 12.900 2.212 1.302
Si 24.980 4.283 2.522
Si 6.131 1.051 0.619
Se 19.851 3.404 2.004
```

- Total magnetization: 0.5 μB/f.u.
- VASP energy: -5.1285 eV per atom
- Raw formation energy: 0.231 eV/atom
- Crystal system: trigonal

Na2ScB after structural relaxation. Source: Alexandria, functional PBE-GGA.

```
8
Lattice="3.725 0.000 0.000 0.000 3.725 0.000 1.863 1.863 11.235" Properties=species:S:1:pos:R:3 pbc="T T T"
B 1.863 3.725 5.618
B 1.863 1.863 0.000
Na 2.691 2.794 2.809
Na 2.794 4.554 8.426
Na 4.657 2.897 8.426
Na 1.034 0.931 2.809
Sc 3.725 1.863 5.618
Sc 0.000 0.000 0.000
```

- Total magnetization: 0.0 μB/f.u.
- VASP energy: -3.2241 eV per atom
- Crystal system: tetragonal
- ΔH_f (0 K): 687.7 meV/atom

Er8As4P3S after structural relaxation. Source: Alexandria, functional PBE-GGA.

```
16
Lattice="8.027 0.000 0.000 0.000 8.029 -0.004 -4.014 -4.010 5.678" Properties=species:S:1:pos:R:3 pbc="T T T"
Er 2.028 2.027 0.028
Er 1.986 1.992 5.647
Er 0.000 0.041 2.866
Er 4.014 3.978 2.809
Er -1.986 1.992 5.647
Er 0.000 3.976 2.838
Er 5.999 2.027 0.028
Er 4.014 0.043 2.837
As 0.000 0.000 0.000
As 2.007 -2.005 2.839
As 4.014 0.000 0.000
As -2.007 -2.005 2.839
P 2.007 2.009 2.837
P 4.014 4.014 -0.002
P -2.007 2.009 2.837
S 0.000 4.014 -0.002
```

- Total magnetization: 0.0 μB/f.u.
- VASP energy: -6.3536 eV per atom
- Raw formation energy: -1.637 eV/atom
- Crystal system: trigonal